(1)
A crystal of LaZr2Ir relaxed with PBEsol. Source: Alexandria, functional SCAN.

Geometry as CIF:
```
data_LaZr2Ir
_space_group_name_H-M_alt 'P 4 m m'
_space_group_IT_number 99
_cell_length_a 3.246
_cell_length_b 3.246
_cell_length_c 8.596
_cell_angle_alpha 90.00
_cell_angle_beta 90.00
_cell_angle_gamma 90.00
loop_
_space_group_symop_operation_xyz
'x,y,z'
'-y,x,z'
'-x,-y,z'
'y,-x,z'
'-x,y,z'
'y,x,z'
'x,-y,z'
'-y,-x,z'
loop_
_atom_site_label
_atom_site_type_symbol
_atom_site_fract_x
_atom_site_fract_y
_atom_site_fract_z
La1 La 0.000 0.000 0.000
Zr1 Zr 0.000 0.000 0.579
Zr2 Zr 0.500 0.500 0.337
Ir1 Ir 0.500 0.500 0.753
```

Values from the calculation:
DOS at the Fermi energy = 3.794 states/eV/f.u.
DFT formation energy = -0.40 eV/atom
DFT total energy = -1.628 hartree per atom
total moment = 0.000 μB/f.u.

=====

(2)
A crystal of LaZr2Ir relaxed with PBEsol. Source: Alexandria, functional SCAN.

Geometry as CIF:
```
data_LaZr2Ir
_space_group_name_H-M_alt 'I -4 m 2'
_space_group_IT_number 119
_space_group_name_Hall 'I -4 -2'
_cell_length_a 4.108
_cell_length_b 4.108
_cell_length_c 9.911
_cell_angle_alpha 90.00
_cell_angle_beta 90.00
_cell_angle_gamma 90.00
loop_
_atom_site_label
_atom_site_type_symbol
_atom_site_fract_x
_atom_site_fract_y
_atom_site_fract_z
La1 La 0.000 0.000 0.000
Zr1 Zr 0.000 0.000 0.500
Zr2 Zr 0.000 0.500 0.250
Ir1 Ir 0.000 0.500 0.750
```

Values from the calculation:
DOS at the Fermi energy = 5.314 states/eV/f.u.
DFT formation energy = -0.08 eV/atom
DFT total energy = -1.616 hartree per atom
total moment = 0.000 μB/f.u.